1.
Density functional theory data (PBE) for an optimized crystal structure of BeCuW2.

## Properties
DOS at the Fermi energy   3.21 states/eV/cell
Total magnetic moment   0.000 Bohr magnetons per cell
Formation enthalpy at 0 K   0.368 eV/atom
Energy relative to the lowest polymorph listed for this composition   209 meV per atom

Lattice parameters (Å, degrees): 8.790 8.790 8.790 17.87 17.87 17.87
Atoms (fractional coordinates):
Be (0.495, 0.495, 0.495)
Cu (0.759, 0.759, 0.759)
W (0.004, 0.004, 0.004)
W (0.242, 0.242, 0.242)

2.
Density functional theory data (PBE) for an optimized crystal structure of Be17CuW.

## Properties
DOS at the Fermi energy   5.30 states/eV/cell
Total magnetic moment   0.000 Bohr magnetons per cell
Formation enthalpy at 0 K   -0.059 eV/atom

Lattice parameters (Å, degrees): 5.518 5.518 5.518 82.22 82.22 82.22
Atoms (fractional coordinates):
Be (0.303, 0.004, 0.687)
Be (0.687, 0.303, 0.004)
Be (0.004, 0.687, 0.303)
Be (0.303, 0.687, 0.004)
Be (0.004, 0.303, 0.687)
Be (0.687, 0.004, 0.303)
Be (0.345, 0.833, 0.345)
Be (0.345, 0.345, 0.833)
Be (0.833, 0.345, 0.345)
Be (0.656, 0.160, 0.656)
Be (0.656, 0.656, 0.160)
Be (0.160, 0.656, 0.656)
Be (0.985, 0.503, 0.985)
Be (0.985, 0.985, 0.503)
Be (0.503, 0.985, 0.985)
Be (0.897, 0.897, 0.897)
Be (0.098, 0.098, 0.098)
Cu (0.385, 0.385, 0.385)
W (0.665, 0.665, 0.665)

3.
Density functional theory data (PBE) for an optimized crystal structure of BeCuW2.

## Properties
DOS at the Fermi energy   1.38 states/eV/cell
Total magnetic moment   0.000 Bohr magnetons per cell
Formation enthalpy at 0 K   0.295 eV/atom
Energy relative to the lowest polymorph listed for this composition   136 meV per atom

Lattice parameters (Å, degrees): 3.939 3.707 3.707 90.00 90.00 90.00
Atoms (fractional coordinates):
Be (0.500, 0.500, 0.000)
Cu (0.500, 0.000, 0.500)
W (0.000, 0.000, 0.000)
W (0.000, 0.500, 0.500)